No. 1
ZrRe2Ir | PBE | optimized geometry

Computed properties:
Relative energy among the computed polymorphs   0.177 eV per atom

Cell: 2.7622 4.0049 6.0126 Å, 90.00 90.00 90.00°
Last column: nearest neighbours and their distance in Å.
Sites, in units of the cell vectors:
Ir 0.5000 0.5000 0.7500  8 Re 2.76, 2 Ir 2.76, 2 Zr 3.01
Re 0.0000 0.0000 0.9662  3 Re 2.60-2.76, 4 Ir 2.76
Re 0.0000 0.0000 0.5338  3 Re 2.60-2.76, 4 Ir 2.76
Zr 0.5000 0.5000 0.2500  2 Zr 2.76, 8 Re 2.97, 2 Ir 3.01



No. 2
ZrRe2Ir | PBE | optimized geometry

Computed properties:
Relative energy among the computed polymorphs   0.000 eV per atom

Cell: 4.4901 2.8373 5.2252 Å, 80.73 90.00 90.00°
Last column: nearest neighbours and their distance in Å.
Sites, in units of the cell vectors:
Ir 0.5000 0.9060 0.7324  5 Re 2.73-2.84, 4 Zr 2.83-2.86, 2 Ir 2.84
Re 0.0000 0.8875 0.0376  4 Re 2.63-2.84, 2 Zr 2.67-2.88, 2 Ir 2.75
Re 0.5000 0.2303 0.1964  4 Re 2.63-2.84, 3 Ir 2.73-2.84
Zr 0.0000 0.4762 0.5336  2 Re 2.67-2.88, 4 Ir 2.83-2.86, 2 Zr 2.84



No. 3
ZrRe2Ir | PBE | optimized geometry

Computed properties:
Relative energy among the computed polymorphs   0.106 eV per atom

Cell: 3.2967 3.2967 6.1486 Å, 90.00 90.00 90.00°
Last column: nearest neighbours and their distance in Å.
Sites, in units of the cell vectors:
Ir 0.5000 0.5000 0.7463  4 Zr 2.74, 5 Re 2.88-2.91
Re 0.0000 0.0000 0.0207  4 Re 2.63, 4 Ir 2.88
Re 0.5000 0.5000 0.2199  4 Re 2.63, 1 Ir 2.91, 4 Zr 2.95
Zr 0.0000 0.0000 0.5131  4 Ir 2.74, 5 Re 2.95-3.03



No. 4
ZrRe2Ir | PBE | optimized geometry

Computed properties:
Relative energy among the computed polymorphs   0.325 eV per atom

Cell: 3.3124 3.3124 6.0818 Å, 90.00 90.00 90.00°
Last column: nearest neighbours and their distance in Å.
Sites, in units of the cell vectors:
Ir 0.5000 0.5000 0.7500  8 Re 2.71
Re 0.0000 0.0000 0.9734  4 Ir 2.71, 1 Re 2.72, 4 Zr 2.88
Re 0.0000 0.0000 0.5266  4 Ir 2.71, 1 Re 2.72, 4 Zr 2.88
Zr 0.5000 0.5000 0.2500  8 Re 2.88, 2 Ir 3.04



No. 5
Zr2ReIr2 | PBE | optimized geometry

Cell: 6.6367 6.6367 4.1943 Å, 90.00 90.00 90.00°
Last column: nearest neighbours and their distance in Å.
Sites, in units of the cell vectors:
Re 0.0000 0.0000 0.0000  4 Ir 2.58
Re 0.5000 0.5000 0.0000  4 Ir 2.58
Ir 0.3647 0.8647 0.0000  1 Ir 2.54, 2 Re 2.58, 2 Zr 2.74
Ir 0.8647 0.6353 0.0000  1 Ir 2.54, 2 Re 2.58, 2 Zr 2.74
Ir 0.6353 0.1353 0.0000  1 Ir 2.54, 2 Re 2.58, 2 Zr 2.74
Ir 0.1353 0.3647 0.0000  1 Ir 2.54, 2 Re 2.58, 2 Zr 2.74
Zr 0.1763 0.6763 0.5000  6 Ir 2.74-2.96
Zr 0.6763 0.8237 0.5000  6 Ir 2.74-2.96
Zr 0.8237 0.3237 0.5000  6 Ir 2.74-2.96
Zr 0.3237 0.1763 0.5000  6 Ir 2.74-2.96



No. 6
Ir5Rh | PBE | optimized geometry

Cell: 2.7382 2.7382 11.5861 Å, 90.00 90.00 90.00°
Last column: nearest neighbours and their distance in Å.
Sites, in units of the cell vectors:
Ir 0.0000 0.0000 0.8321  8 Ir 2.72-2.74, 4 Rh 2.74
Ir 0.0000 0.0000 0.1679  8 Ir 2.72-2.74, 4 Rh 2.74
Ir 0.5000 0.5000 0.6678  12 Ir 2.72-2.74
Ir 0.5000 0.5000 0.3322  12 Ir 2.72-2.74
Ir 0.0000 0.0000 0.5000  12 Ir 2.74
Rh 0.5000 0.5000 0.0000  4 Rh 2.74, 8 Ir 2.74



Number 1: magnetic moment 0.00 μB per atom, E_form 0.0364 eV per atom. Number 2: magnetic moment 0.00 μB per atom, E_form -0.1402 eV per atom. Number 3: magnetic moment 0.00 μB per atom, E_form -0.0343 eV per atom. Number 4: magnetic moment 0.00 μB per atom, E_form 0.1848 eV per atom. Number 5: magnetic moment 0.00 μB per atom, E_form -0.3995 eV per atom. Number 6: magnetic moment 0.00 μB per atom, E_form -0.0080 eV per atom.